A relaxed RbNbS2Cl crystal. Source: Alexandria via LeMat-Bulk, functional PBE.

Structure (CIF):
```
data_RbNbS2Cl
_chemical_formula_sum 'Rb1 Nb1 S2 Cl1'
_symmetry_space_group_name_H-M 'P 4/m m m'
_symmetry_Int_Tables_number 123
_symmetry_space_group_name_Hall '-P 4 2'
_cell_length_a 4.863
_cell_length_b 4.863
_cell_length_c 5.182
_cell_angle_alpha 90.00
_cell_angle_beta 90.00
_cell_angle_gamma 90.00
loop_
_atom_site_label
_atom_site_fract_x
_atom_site_fract_y
_atom_site_fract_z
Rb1 0.000 0.000 0.000
Nb1 0.500 0.500 0.500
S1 0.000 0.500 0.500
Cl1 0.500 0.500 0.000
```

Fermi-level density of states ... 2.1 states/eV per cell
V ... 122.6 Å³ per cell
Energy relative to the lowest polymorph listed for this composition ... 0.000 eV/atom
Crystal system ... tetragonal
Total energy ... -0.39074 Ry/atom